w | Crystalline TcP2WS at its relaxed geometry. Source: Alexandria via LeMat-Bulk, functional PBE.

Lattice parameters (Å, degrees): 4.535 4.535 4.513 90.00 90.00 90.00
Atoms (fractional coordinates):
Tc (0.000, 0.000, 0.000)
P (0.000, 0.500, 0.000)
P (0.500, 0.000, 0.000)
W (0.500, 0.500, 0.500)
S (0.000, 0.000, 0.500)

Space group: No. 123
V in Å³/atom: 18.57
N(E_F) in states/eV per cell: 9.8

***

x | Crystalline TcP2WS at its relaxed geometry. Source: Alexandria via LeMat-Bulk, functional PBE.

Lattice parameters (Å, degrees): 4.758 4.758 4.547 90.00 90.00 90.00
Atoms (fractional coordinates):
Tc (0.000, 0.000, 0.000)
P (0.000, 0.500, 0.500)
P (0.500, 0.000, 0.500)
W (0.500, 0.500, 0.500)
S (0.500, 0.500, 0.000)

Space group: No. 123
V in Å³/atom: 20.59
N(E_F) in states/eV per cell: 3.8

***

Order from most stable to least stable according to the calculation: x, w

***

w | Crystalline TcPWS2 at its relaxed geometry. Source: Alexandria via LeMat-Bulk, functional PBE.

Lattice parameters (Å, degrees): 4.526 4.526 4.685 90.00 90.00 90.00
Atoms (fractional coordinates):
Tc (0.000, 0.000, 0.000)
P (0.000, 0.000, 0.500)
W (0.500, 0.500, 0.500)
S (0.000, 0.500, 0.000)
S (0.500, 0.000, 0.000)

Space group: No. 123
V in Å³/atom: 19.19
N(E_F) in states/eV per cell: 4.3

***

x | Crystalline TcPWS2 at its relaxed geometry. Source: Alexandria via LeMat-Bulk, functional PBE.

Lattice parameters (Å, degrees): 4.598 4.598 4.914 90.00 90.00 90.00
Atoms (fractional coordinates):
Tc (0.000, 0.000, 0.000)
P (0.500, 0.500, 0.000)
W (0.500, 0.500, 0.500)
S (0.000, 0.500, 0.500)
S (0.500, 0.000, 0.500)

Space group: No. 123
V in Å³/atom: 20.78
N(E_F) in states/eV per cell: 2.7

***

Order from most stable to least stable according to the calculation: x, w

***

w | Crystalline YTcPS2 at its relaxed geometry. Source: Alexandria via LeMat-Bulk, functional PBE.

Lattice parameters (Å, degrees): 4.813 4.813 4.424 90.00 90.00 90.00
Atoms (fractional coordinates):
Y (0.000, 0.000, 0.000)
Tc (0.500, 0.500, 0.500)
P (0.500, 0.500, 0.000)
S (0.000, 0.500, 0.500)
S (0.500, 0.000, 0.500)

Space group: No. 123
V in Å³/atom: 20.50
N(E_F) in states/eV per cell: 3.6

***

x | Crystalline YTcPS2 at its relaxed geometry. Source: Alexandria via LeMat-Bulk, functional PBE.

Lattice parameters (Å, degrees): 5.134 5.134 5.333 90.00 90.00 90.00
Atoms (fractional coordinates):
Y (0.000, 0.000, 0.000)
Tc (0.500, 0.500, 0.500)
P (0.000, 0.000, 0.500)
S (0.000, 0.500, 0.000)
S (0.500, 0.000, 0.000)

Space group: No. 123
V in Å³/atom: 28.11
N(E_F) in states/eV per cell: 3.2

***

Order from most stable to least stable according to the calculation: w, x

***

w | Crystalline YTcP2S at its relaxed geometry. Source: Alexandria via LeMat-Bulk, functional PBE.

Lattice parameters (Å, degrees): 4.471 4.471 5.184 90.00 90.00 90.00
Atoms (fractional coordinates):
Y (0.000, 0.000, 0.000)
Tc (0.500, 0.500, 0.500)
P (0.000, 0.500, 0.500)
P (0.500, 0.000, 0.500)
S (0.500, 0.500, 0.000)

Space group: No. 123
V in Å³/atom: 20.73
N(E_F) in states/eV per cell: 3.4

***

x | Crystalline YTcP2S at its relaxed geometry. Source: Alexandria via LeMat-Bulk, functional PBE.

Lattice parameters (Å, degrees): 5.248 5.248 5.089 90.00 90.00 90.00
Atoms (fractional coordinates):
Y (0.000, 0.000, 0.000)
Tc (0.500, 0.500, 0.500)
P (0.000, 0.500, 0.000)
P (0.500, 0.000, 0.000)
S (0.000, 0.000, 0.500)

Space group: No. 123
V in Å³/atom: 28.03
N(E_F) in states/eV per cell: 3.8

***

Order from most stable to least stable according to the calculation: w, x

***

w | Crystalline ZnTcPS2 at its relaxed geometry. Source: Alexandria via LeMat-Bulk, functional PBE.

Lattice parameters (Å, degrees): 4.663 4.663 4.650 90.00 90.00 90.00
Atoms (fractional coordinates):
Zn (0.000, 0.000, 0.000)
Tc (0.500, 0.500, 0.500)
P (0.500, 0.500, 0.000)
S (0.000, 0.500, 0.500)
S (0.500, 0.000, 0.500)

Space group: No. 123
V in Å³/atom: 20.22
N(E_F) in states/eV per cell: 5.3

***

x | Crystalline ZnTcPS2 at its relaxed geometry. Source: Alexandria via LeMat-Bulk, functional PBE.

Lattice parameters (Å, degrees): 4.651 4.651 4.581 90.00 90.00 90.00
Atoms (fractional coordinates):
Zn (0.000, 0.000, 0.000)
Tc (0.500, 0.500, 0.500)
P (0.000, 0.000, 0.500)
S (0.000, 0.500, 0.000)
S (0.500, 0.000, 0.000)

Space group: No. 123
V in Å³/atom: 19.82
N(E_F) in states/eV per cell: 3.0

***

Order from most stable to least stable according to the calculation: w, x

***

w | Crystalline ZnTcP2S at its relaxed geometry. Source: Alexandria via LeMat-Bulk, functional PBE.

Lattice parameters (Å, degrees): 4.480 4.480 5.151 90.00 90.00 90.00
Atoms (fractional coordinates):
Zn (0.000, 0.000, 0.000)
Tc (0.500, 0.500, 0.500)
P (0.000, 0.500, 0.500)
P (0.500, 0.000, 0.500)
S (0.500, 0.500, 0.000)

Space group: No. 123
V in Å³/atom: 20.67
N(E_F) in states/eV per cell: 3.7

***

x | Crystalline ZnTcP2S at its relaxed geometry. Source: Alexandria via LeMat-Bulk, functional PBE.

Lattice parameters (Å, degrees): 4.547 4.547 4.640 90.00 90.00 90.00
Atoms (fractional coordinates):
Zn (0.000, 0.000, 0.000)
Tc (0.500, 0.500, 0.500)
P (0.000, 0.500, 0.000)
P (0.500, 0.000, 0.000)
S (0.000, 0.000, 0.500)

Space group: No. 123
V in Å³/atom: 19.19
N(E_F) in states/eV per cell: 2.9

***

Order from most stable to least stable according to the calculation: w, x

***

w | Crystalline ZrTcP2S at its relaxed geometry. Source: Alexandria via LeMat-Bulk, functional PBE.

Lattice parameters (Å, degrees): 5.030 5.030 4.865 90.00 90.00 90.00
Atoms (fractional coordinates):
Zr (0.000, 0.000, 0.000)
Tc (0.500, 0.500, 0.500)
P (0.000, 0.500, 0.000)
P (0.500, 0.000, 0.000)
S (0.000, 0.000, 0.500)

Space group: No. 123
V in Å³/atom: 24.61
N(E_F) in states/eV per cell: 3.3

***

x | Crystalline ZrTcP2S at its relaxed geometry. Source: Alexandria via LeMat-Bulk, functional PBE.

Lattice parameters (Å, degrees): 4.474 4.474 4.895 90.00 90.00 90.00
Atoms (fractional coordinates):
Zr (0.000, 0.000, 0.000)
Tc (0.500, 0.500, 0.500)
P (0.000, 0.500, 0.500)
P (0.500, 0.000, 0.500)
S (0.500, 0.500, 0.000)

Space group: No. 123
V in Å³/atom: 19.59
N(E_F) in states/eV per cell: 4.8

***

Order from most stable to least stable according to the calculation: x, w

***

w | Crystalline TePS2 at its relaxed geometry. Source: Alexandria via LeMat-Bulk, functional PBE.

Lattice parameters (Å, degrees): 6.857 6.857 7.720 90.00 90.00 90.00
Atoms (fractional coordinates):
Te (0.000, 0.000, 0.000)
Te (0.000, 0.500, 0.250)
Te (0.500, 0.000, 0.750)
Te (0.500, 0.500, 0.500)
P (0.000, 0.000, 0.500)
P (0.000, 0.500, 0.750)
P (0.500, 0.000, 0.250)
P (0.500, 0.500, 0.000)
S (0.203, 0.250, 0.625)
S (0.250, 0.703, 0.875)
S (0.250, 0.797, 0.375)
S (0.297, 0.250, 0.125)
S (0.703, 0.750, 0.125)
S (0.750, 0.203, 0.375)
S (0.750, 0.297, 0.875)
S (0.797, 0.750, 0.625)

Space group: No. 122
V in Å³/atom: 22.69
N(E_F) in states/eV per cell: 11.2

***

x | Crystalline TePS2 at its relaxed geometry. Source: Alexandria via LeMat-Bulk, functional PBE.

Lattice parameters (Å, degrees): 3.524 3.524 24.536 90.00 90.00 120.00
Atoms (fractional coordinates):
Te (0.000, 0.000, 0.000)
Te (0.333, 0.667, 0.667)
Te (0.667, 0.333, 0.333)
P (0.000, 0.000, 0.500)
P (0.333, 0.667, 0.167)
P (0.667, 0.333, 0.833)
S (0.000, 0.000, 0.109)
S (0.000, 0.000, 0.891)
S (0.333, 0.667, 0.558)
S (0.333, 0.667, 0.776)
S (0.667, 0.333, 0.224)
S (0.667, 0.333, 0.442)

Space group: No. 166
V in Å³/atom: 21.99
N(E_F) in states/eV per cell: 4.3

***

y | Crystalline TePS2 at its relaxed geometry. Source: Alexandria via LeMat-Bulk, functional PBE.

Lattice parameters (Å, degrees): 6.655 6.655 6.655 90.00 90.00 90.00
Atoms (fractional coordinates):
Te (0.000, 0.000, 0.000)
Te (0.000, 0.500, 0.500)
Te (0.500, 0.000, 0.500)
Te (0.500, 0.500, 0.000)
P (0.000, 0.000, 0.500)
P (0.000, 0.500, 0.000)
P (0.500, 0.000, 0.000)
P (0.500, 0.500, 0.500)
S (0.250, 0.250, 0.250)
S (0.250, 0.250, 0.750)
S (0.250, 0.750, 0.250)
S (0.250, 0.750, 0.750)
S (0.750, 0.250, 0.250)
S (0.750, 0.250, 0.750)
S (0.750, 0.750, 0.250)
S (0.750, 0.750, 0.750)

Space group: No. 225
V in Å³/atom: 18.42
N(E_F) in states/eV per cell: 12.1

***

Order from most stable to least stable according to the calculation: x, w, y

***

w | Crystalline TePS4 at its relaxed geometry. Source: Alexandria via LeMat-Bulk, functional PBE.

Lattice parameters (Å, degrees): 5.923 5.923 9.584 90.00 90.00 97.89
Atoms (fractional coordinates):
Te (0.238, 0.762, 0.750)
Te (0.762, 0.238, 0.250)
P (0.101, 0.101, 0.000)
P (0.899, 0.899, 0.500)
S (0.150, 0.765, 0.017)
S (0.217, 0.262, 0.184)
S (0.235, 0.850, 0.483)
S (0.262, 0.217, 0.816)
S (0.738, 0.783, 0.316)
S (0.765, 0.150, 0.983)
S (0.783, 0.738, 0.684)
S (0.850, 0.235, 0.517)

Space group: No. 20
V in Å³/atom: 27.75
N(E_F) in states/eV per cell: 6.2

***

x | Crystalline TePS4 at its relaxed geometry. Source: Alexandria via LeMat-Bulk, functional PBE.

Lattice parameters (Å, degrees): 8.754 8.754 6.378 108.11 108.11 45.48
Atoms (fractional coordinates):
Te (0.221, 0.221, 0.188)
Te (0.779, 0.779, 0.812)
P (0.440, 0.440, 0.150)
P (0.560, 0.560, 0.850)
S (0.193, 0.679, 0.401)
S (0.279, 0.721, 0.000)
S (0.302, 0.302, 0.946)
S (0.321, 0.807, 0.599)
S (0.679, 0.193, 0.401)
S (0.698, 0.698, 0.054)
S (0.721, 0.279, 0.000)
S (0.807, 0.321, 0.599)

Space group: No. 12
V in Å³/atom: 27.34
N(E_F) in states/eV per cell: 2.9

***

Order from most stable to least stable according to the calculation: w, x

***

w | Crystalline TiTeP2S at its relaxed geometry. Source: Alexandria via LeMat-Bulk, functional PBE.

Lattice parameters (Å, degrees): 4.915 4.915 4.464 90.00 90.00 90.00
Atoms (fractional coordinates):
Ti (0.000, 0.000, 0.000)
Te (0.500, 0.500, 0.500)
P (0.000, 0.500, 0.000)
P (0.500, 0.000, 0.000)
S (0.000, 0.000, 0.500)

Space group: No. 123
V in Å³/atom: 21.57
N(E_F) in states/eV per cell: 4.2

***

x | Crystalline TiTeP2S at its relaxed geometry. Source: Alexandria via LeMat-Bulk, functional PBE.

Lattice parameters (Å, degrees): 4.959 4.959 4.978 90.00 90.00 90.00
Atoms (fractional coordinates):
Ti (0.000, 0.000, 0.000)
Te (0.500, 0.500, 0.500)
P (0.000, 0.500, 0.500)
P (0.500, 0.000, 0.500)
S (0.500, 0.500, 0.000)

Space group: No. 123
V in Å³/atom: 24.48
N(E_F) in states/eV per cell: 4.6

***

Order from most stable to least stable according to the calculation: w, x

***

w | Crystalline VTePS2 at its relaxed geometry. Source: Alexandria via LeMat-Bulk, functional PBE.

Lattice parameters (Å, degrees): 5.007 5.007 5.003 90.00 90.00 90.00
Atoms (fractional coordinates):
V (0.000, 0.000, 0.000)
Te (0.500, 0.500, 0.500)
P (0.500, 0.500, 0.000)
S (0.000, 0.500, 0.500)
S (0.500, 0.000, 0.500)

Space group: No. 123
V in Å³/atom: 25.08
N(E_F) in states/eV per cell: 6.0

***

x | Crystalline VTePS2 at its relaxed geometry. Source: Alexandria via LeMat-Bulk, functional PBE.

Lattice parameters (Å, degrees): 4.433 4.433 5.083 90.00 90.00 90.00
Atoms (fractional coordinates):
V (0.000, 0.000, 0.000)
Te (0.500, 0.500, 0.500)
P (0.000, 0.000, 0.500)
S (0.000, 0.500, 0.000)
S (0.500, 0.000, 0.000)

Space group: No. 123
V in Å³/atom: 19.98
N(E_F) in states/eV per cell: 4.1

***

Order from most stable to least stable according to the calculation: x, w

***

w | Crystalline TePWS2 at its relaxed geometry. Source: Alexandria via LeMat-Bulk, functional PBE.

Lattice parameters (Å, degrees): 4.907 4.907 5.099 90.00 90.00 90.00
Atoms (fractional coordinates):
Te (0.000, 0.000, 0.000)
P (0.000, 0.000, 0.500)
W (0.500, 0.500, 0.500)
S (0.000, 0.500, 0.000)
S (0.500, 0.000, 0.000)

Space group: No. 123
V in Å³/atom: 24.55
N(E_F) in states/eV per cell: 4.6

***

x | Crystalline TePWS2 at its relaxed geometry. Source: Alexandria via LeMat-Bulk, functional PBE.

Lattice parameters (Å, degrees): 4.582 4.582 5.093 90.00 90.00 90.00
Atoms (fractional coordinates):
Te (0.000, 0.000, 0.000)
P (0.500, 0.500, 0.000)
W (0.500, 0.500, 0.500)
S (0.000, 0.500, 0.500)
S (0.500, 0.000, 0.500)

Space group: No. 123
V in Å³/atom: 21.38
N(E_F) in states/eV per cell: 4.9

***

Order from most stable to least stable according to the calculation: x, w

***

w | Crystalline YTePS2 at its relaxed geometry. Source: Alexandria via LeMat-Bulk, functional PBE.

Lattice parameters (Å, degrees): 5.005 5.005 4.991 90.00 90.00 90.00
Atoms (fractional coordinates):
Y (0.000, 0.000, 0.000)
Te (0.500, 0.500, 0.500)
P (0.500, 0.500, 0.000)
S (0.000, 0.500, 0.500)
S (0.500, 0.000, 0.500)

Space group: No. 123
V in Å³/atom: 25.00
N(E_F) in states/eV per cell: 2.2

***

x | Crystalline YTePS2 at its relaxed geometry. Source: Alexandria via LeMat-Bulk, functional PBE.

Lattice parameters (Å, degrees): 5.124 5.124 5.521 90.00 90.00 90.00
Atoms (fractional coordinates):
Y (0.000, 0.000, 0.000)
Te (0.500, 0.500, 0.500)
P (0.000, 0.000, 0.500)
S (0.000, 0.500, 0.000)
S (0.500, 0.000, 0.000)

Space group: No. 123
V in Å³/atom: 28.98
N(E_F) in states/eV per cell: 7.8

***

Order from most stable to least stable according to the calculation: w, x